(1)
ScMnAlRh after structural relaxation, computed with PBE.

abc: 4.4235 4.4235 4.4235
angles: 60.00 60.00 60.00
Each line ends with the local moment (μB).
Atoms (fractional coordinates):
Sc1 0.7500 0.7500 0.7500  -0.14
Rh1 0.5000 0.5000 0.5000  0.11
Mn1 0.0000 0.0000 0.0000  2.92
Al1 0.2500 0.2500 0.2500  -0.05

Calculated values
As for the energy relative to the elements: -0.551 eV/atom. The space group is F-43m (216). Its spin magnetization is 2.84 μB per cell.

***

(2)
CaAcSi after structural relaxation, computed with PBE.

abc: 4.5437 6.5609 6.7696
angles: 90.00 90.00 110.26
Each line ends with the local moment (μB).
Atoms (fractional coordinates):
Ca1 0.0000 0.0000 0.5000  0.09
Ac1 0.2933 0.5866 0.7500  0.16
Ac2 0.7067 0.4134 0.2500  0.16
Si1 0.6115 0.2229 0.7500  -0.01
Si2 0.3885 0.7771 0.2500  -0.01
Ca2 0.0000 0.0000 0.0000  0.09

Calculated values
The calculation puts the energy above the most stable polymorph in this dataset at 38 meV/atom. The calculation puts the formation energy (no corrections) at -0.361 eV per atom. The space group is Cmcm (63). Its spin magnetization is 1.78 μB per cell.

***

(3)
Li2GaSbS4 after structural relaxation, computed with PBE.

abc: 6.0341 6.5655 9.0578
angles: 90.00 90.00 90.00
Atoms (fractional coordinates):
Sb1 0.4735 0.7876 0.0000
Li1 0.4858 0.3211 0.7516
Ga1 0.9948 0.1603 0.0000
S1 0.3922 0.6873 0.7140
S2 0.3922 0.6873 0.2860
Li2 0.9858 0.6789 0.2516
S3 0.8922 0.3127 0.2140
S4 0.8909 0.8190 0.0000
Li3 0.4858 0.3211 0.2484
S5 0.3909 0.1810 0.5000
S6 0.3849 0.1577 0.0000
Ga2 0.4948 0.8397 0.5000
Sb2 0.9735 0.2124 0.5000
S7 0.8922 0.3127 0.7860
S8 0.8849 0.8423 0.5000
Li4 0.9858 0.6789 0.7484

Calculated values
The calculation puts the formation energy (no corrections) at -0.798 eV per atom. The space group is Pmn2_1 (31). Its spin magnetization is 0.00 μB per cell.